# LaNd2Ni

Crystalline LaNd2Ni at its relaxed geometry (GGA-PBE, Alexandria via LeMat-Bulk).

The density of states at the Fermi level is 1.31 states/eV/atom. As for the density: 6.94 Mg/m³. As for the formation enthalpy at 0 K: -0.0857 eV per atom. As for the energy above the most stable polymorph in this dataset: 93 meV per atom.

The space group is P4/mmm (No. 123) and the conventional cell measures 3.567, 3.567 and 9.145 Å, with angles of 90.00, 90.00 and 90.00 degrees. The asymmetric unit holds La at (0.000, 0.000, 0.000), Nd at (0.500, 0.500, 0.320) and Ni at (0.000, 0.000, 0.500).

# La3NdNi8

Crystalline La3NdNi8 at its relaxed geometry (GGA-PBE, Alexandria via LeMat-Bulk).

The density of states at the Fermi level is 0.67 states/eV/atom. As for the density: 8.60 Mg/m³. As for the formation enthalpy at 0 K: -0.3166 eV per atom.

The space group is R3m (No. 160, hexagonal axes) and the conventional cell measures 5.2001, 5.2001 and 25.5013 Å, with angles of 90.00, 90.00 and 120.00 degrees. The asymmetric unit holds La at (0.0000, 0.0000, 0.0000), La at (0.0000, 0.0000, 0.1252), La at (0.0000, 0.0000, 0.4997), Nd at (0.0000, 0.0000, 0.6246), Ni at (0.0000, 0.0000, 0.3122), Ni at (0.0000, 0.0000, 0.8124), Ni at (0.0006, 0.5003, 0.5628) and Ni at (0.1671, 0.3342, 0.3952).

# LaNdNi

Crystalline LaNdNi at its relaxed geometry (GGA-PBE, Alexandria via LeMat-Bulk).

The density of states at the Fermi level is 1.98 states/eV/atom. As for the density: 6.68 Mg/m³. As for the formation enthalpy at 0 K: -0.0426 eV per atom. As for the energy above the most stable polymorph in this dataset: 108 meV per atom.

The space group is F-43m (No. 216) and the conventional cell measures 6.978, 6.978 and 6.978 Å, with angles of 90.00, 90.00 and 90.00 degrees. The asymmetric unit holds La at (0.000, 0.000, 0.000), Nd at (0.000, 0.000, 0.500) and Ni at (0.250, 0.250, 0.750).

# LaNdNi

Crystalline LaNdNi at its relaxed geometry (GGA-PBE, Alexandria via LeMat-Bulk).

The density of states at the Fermi level is 1.47 states/eV/atom. As for the density: 6.88 Mg/m³. As for the formation enthalpy at 0 K: -0.1350 eV per atom. As for the energy above the most stable polymorph in this dataset: 15 meV per atom.

The space group is I4mm (No. 107) and the conventional cell measures 3.556, 3.556 and 13.045 Å, with angles of 90.00, 90.00 and 90.00 degrees. The asymmetric unit holds La at (0.000, 0.000, 0.000), Nd at (0.000, 0.000, 0.254) and Ni at (0.000, 0.000, 0.629).

# La3NdNi

Crystalline La3NdNi at its relaxed geometry (GGA-PBE, Alexandria via LeMat-Bulk).

The density of states at the Fermi level is 1.53 states/eV/atom. As for the density: 6.14 Mg/m³. As for the formation enthalpy at 0 K: -0.0535 eV per atom. As for the energy above the most stable polymorph in this dataset: 77 meV per atom.

The space group is Pm (No. 6) and the conventional cell measures 6.350, 7.829 and 6.747 Å, with angles of 90.00, 90.00 and 90.00 degrees. The asymmetric unit holds La at (0.000, 0.000, 0.000), La at (0.003, 0.250, 0.527), La at (0.499, 0.500, 0.701), La at (0.503, 0.250, 0.174), Nd at (0.012, 0.500, 0.005), Nd at (0.514, 0.000, 0.697), Ni at (0.254, 0.000, 0.352) and Ni at (0.753, 0.500, 0.350).

# La2Nd3Ni4

Crystalline La2Nd3Ni4 at its relaxed geometry (GGA-PBE, Alexandria via LeMat-Bulk).

The density of states at the Fermi level is 0.84 states/eV/atom. As for the density: 7.26 Mg/m³. As for the formation enthalpy at 0 K: -0.2639 eV per atom.

The space group is P2_1/c (No. 14) and the conventional cell measures 7.438, 7.407 and 8.211 Å, with angles of 90.00, 107.01 and 90.00 degrees. The asymmetric unit holds La at (0.205, 0.176, 0.106), Nd at (0.236, 0.667, 0.252), Nd at (0.500, 0.000, 0.500), Ni at (0.092, 0.531, 0.895) and Ni at (0.497, 0.618, 0.610).

# La6NdNi2

Crystalline La6NdNi2 at its relaxed geometry (GGA-PBE, Alexandria via LeMat-Bulk).

The density of states at the Fermi level is 1.30 states/eV/atom. As for the density: 6.75 Mg/m³. As for the formation enthalpy at 0 K: -0.0590 eV per atom.

The space group is C2/m (No. 12) and the conventional cell measures 11.604, 5.629 and 9.667 Å, with angles of 90.00, 121.41 and 90.00 degrees. The asymmetric unit holds La at (0.121, 0.000, 0.431), La at (0.125, 0.500, 0.685), La at (0.198, 0.500, 0.082), Nd at (0.000, 0.000, 0.000) and Ni at (0.092, 0.500, 0.271).

# La3Nd3Ni4

Crystalline La3Nd3Ni4 at its relaxed geometry (GGA-PBE, Alexandria via LeMat-Bulk).

The density of states at the Fermi level is 0.85 states/eV/atom. As for the density: 7.33 Mg/m³. As for the formation enthalpy at 0 K: -0.2246 eV per atom.

The space group is Amm2 (No. 38) and the conventional cell measures 3.959, 11.084 and 11.198 Å, with angles of 90.00, 90.00 and 90.00 degrees. The asymmetric unit holds La at (0.000, 0.000, 0.000), La at (0.000, 0.166, 0.662), Nd at (0.000, 0.000, 0.329), Nd at (0.500, 0.249, 0.411), Ni at (0.500, 0.000, 0.543), Ni at (0.500, 0.000, 0.781) and Ni at (0.500, 0.119, 0.163).